<one>
Compound: BaTa3W
Source: Alexandria via LeMat-Bulk
Functional: PBE
Structure: optimized geometry

Properties
Symmetry: Pm-3m (221)
Total moment (μB/cell): 0.002

abc: 5.061 5.061 5.061
angles: 90.00 90.00 90.00
Element x y z (fractional)
Ba (0.000, 0.000, 0.000)
Ta (0.000, 0.500, 0.500)
Ta (0.500, 0.000, 0.500)
Ta (0.500, 0.500, 0.000)
W (0.500, 0.500, 0.500)

<two>
Compound: BaTa3W
Source: Alexandria via LeMat-Bulk
Functional: PBE
Structure: optimized geometry

Properties
Symmetry: Pm-3m (221)
Total moment (μB/cell): 0.001

abc: 4.957 4.957 4.957
angles: 90.00 90.00 90.00
Element x y z (fractional)
Ba (0.000, 0.000, 0.000)
Ta (0.000, 0.000, 0.500)
Ta (0.000, 0.500, 0.000)
Ta (0.500, 0.000, 0.000)
W (0.500, 0.500, 0.500)

Unit: meV/atom. Relative energies: <one> 0; <two> 2122.

<one>
Compound: Ba2YTa
Source: Alexandria via LeMat-Bulk
Functional: PBE
Structure: optimized geometry

Properties
Symmetry: P4mm (99)
Total moment (μB/cell): 0.405

abc: 3.543 3.543 11.510
angles: 90.00 90.00 90.00
Element x y z (fractional)
Ba (0.000, 0.000, 0.000)
Ba (0.500, 0.500, 0.325)
Y (0.500, 0.500, 0.712)
Ta (0.000, 0.000, 0.545)

<two>
Compound: Ba2YTa
Source: Alexandria via LeMat-Bulk
Functional: PBE
Structure: optimized geometry

Properties
Symmetry: Cmmm (65)
Total moment (μB/cell): 0.070

abc: 6.620 6.620 3.457
angles: 90.00 90.00 116.09
Element x y z (fractional)
Ba (0.000, 0.500, 0.000)
Ba (0.500, 0.000, 0.000)
Y (0.000, 0.000, 0.500)
Ta (0.500, 0.500, 0.500)

Unit: meV/atom. Relative energies: <one> 0; <two> 382.

<one>
Compound: Ba2YTa
Source: Alexandria via LeMat-Bulk
Functional: PBE
Structure: optimized geometry

Properties
Symmetry: P4/mmm (123)
Total moment (μB/cell): 0.008

abc: 3.451 3.451 11.571
angles: 90.00 90.00 90.00
Element x y z (fractional)
Ba (0.000, 0.000, 0.220)
Ba (0.000, 0.000, 0.780)
Y (0.500, 0.500, 0.500)
Ta (0.500, 0.500, 0.000)

<two>
Compound: Ba2YTa
Source: Alexandria via LeMat-Bulk
Functional: PBE
Structure: optimized geometry

Properties
Symmetry: Pmm2 (25)
Total moment (μB/cell): 0.000

abc: 3.662 4.338 9.625
angles: 90.00 90.00 90.00
Element x y z (fractional)
Ba (0.000, 0.000, 0.000)
Ba (0.500, 0.500, 0.368)
Y (0.000, 0.000, 0.630)
Ta (0.500, 0.500, 0.762)

<three>
Compound: Ba2YTa
Source: Alexandria via LeMat-Bulk
Functional: PBE
Structure: optimized geometry

Properties
Symmetry: I-42d (122)
Total moment (μB/cell): 0.000

abc: 8.713 8.713 8.713
angles: 95.81 95.81 142.89
Element x y z (fractional)
Ba (0.375, 0.230, 0.355)
Ba (0.770, 0.125, 0.145)
Ba (0.875, 0.020, 0.645)
Ba (0.980, 0.625, 0.855)
Y (0.250, 0.750, 0.500)
Y (0.500, 0.500, 0.000)
Ta (0.000, 0.000, 0.000)
Ta (0.750, 0.250, 0.500)

Unit: meV/atom. Relative energies: <one> 292; <two> 0; <three> 495.

<one>
Compound: Ba2YTa
Source: Alexandria via LeMat-Bulk
Functional: PBE
Structure: optimized geometry

Properties
Symmetry: C2/m (12)
Total moment (μB/cell): 2.723

abc: 6.992 6.992 3.461
angles: 97.84 97.84 120.59
Element x y z (fractional)
Ba (0.000, 0.500, 0.000)
Ba (0.500, 0.000, 0.000)
Y (0.000, 0.000, 0.500)
Ta (0.500, 0.500, 0.500)

<two>
Compound: Ba2YTa
Source: Alexandria via LeMat-Bulk
Functional: PBE
Structure: optimized geometry

Properties
Symmetry: Cm (8)
Total moment (μB/cell): 0.001

abc: 5.455 5.455 8.401
angles: 94.15 94.15 37.05
Element x y z (fractional)
Ba (0.000, 0.000, 0.000)
Ba (0.233, 0.233, 0.650)
Y (0.473, 0.473, 0.380)
Ta (0.739, 0.739, 0.270)

Unit: meV/atom. Relative energies: <one> 251; <two> 0.

<one>
Compound: Ba2YTa
Source: Alexandria via LeMat-Bulk
Functional: PBE
Structure: optimized geometry

Properties
Symmetry: Pmmm (47)
Total moment (μB/cell): 0.000

abc: 3.484 5.439 7.219
angles: 90.00 90.00 90.00
Element x y z (fractional)
Ba (0.000, 0.000, 0.232)
Ba (0.000, 0.000, 0.768)
Y (0.500, 0.500, 0.500)
Ta (0.500, 0.500, 0.000)

<two>
Compound: Ba2YTa
Source: Alexandria via LeMat-Bulk
Functional: PBE
Structure: optimized geometry

Properties
Symmetry: Imm2 (44)
Total moment (μB/cell): 1.932

abc: 7.352 7.352 7.352
angles: 150.17 128.13 61.00
Element x y z (fractional)
Ba (0.000, 0.000, 0.000)
Ba (0.702, 0.202, 0.500)
Y (0.405, 0.405, 0.000)
Ta (0.226, 0.726, 0.500)

<three>
Compound: Ba2YTa
Source: Alexandria via LeMat-Bulk
Functional: PBE
Structure: optimized geometry

Properties
Symmetry: Immm (71)
Total moment (μB/cell): 0.000

abc: 9.999 9.999 9.999
angles: 159.54 151.21 35.58
Element x y z (fractional)
Ba (0.158, 0.158, 0.000)
Ba (0.842, 0.842, 0.000)
Y (0.500, 0.000, 0.500)
Ta (0.000, 0.500, 0.500)

Unit: meV/atom. Relative energies: <one> 230; <two> 62; <three> 0.

<one>
Compound: BaYTa
Source: Alexandria via LeMat-Bulk
Functional: PBE
Structure: optimized geometry

Properties
Symmetry: P3m1 (156)
Total moment (μB/cell): 0.000

abc: 3.401 3.401 8.996
angles: 90.00 90.00 120.00
Element x y z (fractional)
Ba (0.000, 0.000, 0.000)
Y (0.333, 0.667, 0.590)
Ta (0.667, 0.333, 0.323)

<two>
Compound: BaYTa
Source: Alexandria via LeMat-Bulk
Functional: PBE
Structure: optimized geometry

Properties
Symmetry: P-6m2 (187)
Total moment (μB/cell): 0.000

abc: 5.632 5.632 3.115
angles: 90.00 90.00 120.00
Element x y z (fractional)
Ba (0.000, 0.000, 0.000)
Y (0.333, 0.667, 0.000)
Ta (0.667, 0.333, 0.500)

<three>
Compound: BaYTa
Source: Alexandria via LeMat-Bulk
Functional: PBE
Structure: optimized geometry

Properties
Symmetry: Fmm2 (42)
Total moment (μB/cell): 0.000

abc: 8.853 8.850 3.306
angles: 79.27 79.20 21.53
Element x y z (fractional)
Ba (0.000, 0.000, 0.000)
Y (0.711, 0.711, 0.289)
Ta (0.334, 0.334, 0.666)

<four>
Compound: BaYTa
Source: Alexandria via LeMat-Bulk
Functional: PBE
Structure: optimized geometry

Properties
Symmetry: F-43m (216)
Total moment (μB/cell): 2.151

abc: 5.172 5.172 5.172
angles: 60.00 60.00 60.00
Element x y z (fractional)
Ba (0.000, 0.000, 0.000)
Y (0.250, 0.250, 0.250)
Ta (0.750, 0.750, 0.750)

Unit: meV/atom. Relative energies: <one> 112; <two> 251; <three> 0; <four> 1137.

<one>
Compound: Ba2YTa2
Source: Alexandria via LeMat-Bulk
Functional: PBE
Structure: optimized geometry

Properties
Symmetry: I4/mmm (139)
Total moment (μB/cell): 1.690

abc: 12.960 12.960 12.960
angles: 163.27 163.27 23.74
Element x y z (fractional)
Ba (0.124, 0.124, 0.000)
Ba (0.876, 0.876, 0.000)
Y (0.500, 0.500, 0.000)
Ta (0.250, 0.750, 0.500)
Ta (0.750, 0.250, 0.500)

<two>
Compound: Ba2YTa2
Source: Alexandria via LeMat-Bulk
Functional: PBE
Structure: optimized geometry

Properties
Symmetry: P4/mbm (127)
Total moment (μB/cell): 0.000

abc: 9.897 9.897 3.217
angles: 90.00 90.00 90.00
Element x y z (fractional)
Ba (0.201, 0.299, 0.000)
Ba (0.299, 0.799, 0.000)
Ba (0.701, 0.201, 0.000)
Ba (0.799, 0.701, 0.000)
Y (0.000, 0.000, 0.000)
Y (0.500, 0.500, 0.000)
Ta (0.092, 0.592, 0.500)
Ta (0.408, 0.092, 0.500)
Ta (0.592, 0.908, 0.500)
Ta (0.908, 0.408, 0.500)

Unit: meV/atom. Relative energies: <one> 0; <two> 327.